Density functional theory data (GGA+U) for a relaxed structure of Tl3Cr5F12.

The structure in extended XYZ format:
```
80
Lattice="-6.633 8.514 5.646 -3.087 -11.005 4.209 11.826 1.992 2.131" Properties=species:S:1:pos:R:3 pbc="T T T"
Tl -4.654 2.507 6.080
Tl -6.641 -0.555 8.364
Tl 2.589 -3.816 6.606
Tl 2.391 1.500 2.737
Tl -3.233 6.572 5.999
Tl -1.460 -3.188 5.281
Tl 3.566 2.688 6.706
Tl 5.339 -7.072 5.987
Tl -0.284 -1.999 9.250
Tl -0.483 3.317 5.380
Tl 8.747 0.056 3.623
Tl 6.760 -3.007 5.907
Cr 0.970 -2.565 2.817
Cr -1.543 -5.503 2.105
Cr 0.000 0.000 0.000
Cr -1.781 0.690 3.436
Cr 2.597 5.253 3.889
Cr -4.860 -1.246 4.928
Cr 1.291 -6.443 4.662
Cr 4.987 6.752 6.625
Cr -2.469 0.254 7.665
Cr 5.996 3.311 4.242
Cr -3.890 -3.810 7.745
Cr 1.053 -0.250 5.993
Cr -3.316 4.257 2.823
Cr 5.913 0.996 1.065
Cr 4.575 -0.754 4.322
Cr -2.881 -7.252 5.361
Cr 4.370 -4.507 3.170
Cr 0.816 5.943 7.325
Cr 3.887 -1.190 8.550
Cr 1.136 2.065 9.169
F -4.665 4.677 4.253
F 1.063 -1.946 4.915
F -3.962 4.664 7.966
F -2.751 2.613 3.831
F 1.960 -1.204 7.512
F -6.431 2.272 8.420
F 0.247 -5.379 6.266
F -2.268 -9.213 4.604
F 0.902 -4.552 8.909
F -4.305 -0.260 6.589
F -2.244 2.430 7.571
F -8.228 -2.896 8.571
F 3.291 -5.570 4.491
F -3.027 -0.960 4.154
F 1.422 -8.580 5.117
F 3.847 3.690 4.068
F 1.060 -0.821 1.497
F -4.248 -2.972 5.754
F -4.551 -2.414 9.296
F -0.914 -3.643 2.536
F 4.040 -5.839 8.185
F -0.743 -0.736 6.753
F -2.585 -0.417 9.745
F 4.424 5.175 8.035
F 2.849 0.236 5.234
F 4.691 -0.083 2.241
F -2.318 -5.675 3.951
F 6.657 1.914 2.691
F -1.934 5.339 3.801
F 3.021 3.143 9.451
F 6.354 2.472 6.232
F -1.741 -4.190 7.919
F 1.046 0.321 10.489
F 0.684 8.080 6.870
F -1.185 5.070 7.495
F 10.335 2.396 3.416
F 5.134 0.460 7.833
F 1.204 4.052 3.077
F 6.412 -0.239 5.397
F 4.350 -2.929 4.415
F 4.374 8.713 7.382
F 1.859 4.880 5.720
F 4.857 -3.112 8.156
F 8.538 -2.772 3.567
F 0.146 0.704 4.475
F 6.068 -5.164 4.020
F 1.044 1.446 7.072
F 6.771 -5.176 7.733
```

Calculated values
Final energy = -0.1997 hartree per atom
Magnetic moment = 21.000 μB per formula unit